Ca2AcNpO6: optimized geometry, PBE.

## Properties
uncorrected formation energy	-3.085	eV/atom
crystal system	trigonal
calculated density	6.556	Mg/m³
size of the total moment	2.0	μB per formula unit

Cell lengths 6.2527, 6.2527, 6.2527 Å; angles 57.31, 57.31, 57.31 degrees
With the nearest neighbours (Å) after each atom.
Positions (direct):
1 Ca 0.0000 0.0000 0.0000  6 O 2.32-2.48
2 Ca 0.4902 0.4902 0.4902  6 O 2.36-2.52
3 Ac 0.2177 0.2177 0.2177  6 O 2.45-2.60
4 Np 0.7035 0.7035 0.7035  6 O 2.16-2.18
5 O 0.0712 0.4325 0.8050  1 Np 2.18, 1 Ca 2.36
6 O 0.3348 0.8807 0.6236  1 Np 2.16, 1 Ca 2.32
7 O 0.4325 0.8050 0.0712  1 Np 2.18, 1 Ca 2.36
8 O 0.6236 0.3348 0.8807  1 Np 2.16, 1 Ca 2.32
9 O 0.8050 0.0712 0.4325  1 Np 2.18, 1 Ca 2.36
10 O 0.8807 0.6236 0.3348  1 Np 2.16, 1 Ca 2.32